# 1
# TcRh2Pb

An optimized crystal structure of TcRh2Pb (PBE, the Alexandria database).

## Properties
Calculated volume in Å³ per atom: 16.7
Total magnetization in μB per cell: 0.0
DFT formation energy in eV per atom: 0.22
Space-group type: No. 8

Lattice parameters (Å, degrees): 9.1346 2.9428 5.0421 90.00 100.65 90.00
Closest atoms and distances in Å follow each position.
Fractional coordinates of all 8 atoms:
Tc1 0.0000 0.0000 0.0000  5 Rh 2.65-2.68, 2 Tc 2.94
Tc2 0.5000 0.5000 0.0000  5 Rh 2.65-2.68, 2 Tc 2.94
Rh1 0.2394 0.5000 0.1730  3 Tc 2.65-2.68, 5 Rh 2.83-2.94, 4 Pb 2.89-2.94
Rh2 0.4894 0.0000 0.4353  2 Tc 2.66, 3 Pb 2.75-2.83, 5 Rh 2.83-2.94
Rh3 0.7394 0.0000 0.1730  3 Tc 2.65-2.68, 5 Rh 2.83-2.94, 4 Pb 2.89-2.94
Rh4 0.9894 0.5000 0.4353  2 Tc 2.66, 3 Pb 2.75-2.83, 5 Rh 2.83-2.94
Pb1 0.2438 0.0000 0.6802  7 Rh 2.75-2.94, 2 Pb 2.94, 3 Tc 2.97-2.98
Pb2 0.7438 0.5000 0.6802  7 Rh 2.75-2.94, 2 Pb 2.94, 3 Tc 2.97-2.98

---

# 2
# TcRh2Pb

An optimized crystal structure of TcRh2Pb (PBE, the Alexandria database).

## Properties
Calculated volume in Å³ per atom: 16.8
Total magnetization in μB per cell: 0.0
DFT formation energy in eV per atom: 0.18
Space-group type: No. 123

Lattice parameters (Å, degrees): 2.9198 2.9198 7.8847 90.00 90.00 90.00
Closest atoms and distances in Å follow each position.
Fractional coordinates of all 4 atoms:
Tc1 0.0000 0.0000 0.0000  8 Rh 2.70, 4 Tc 2.92
Rh1 0.5000 0.5000 0.2206  4 Tc 2.70, 4 Rh 2.92, 4 Pb 3.02
Rh2 0.5000 0.5000 0.7794  4 Tc 2.70, 4 Rh 2.92, 4 Pb 3.02
Pb1 0.0000 0.0000 0.5000  4 Pb 2.92, 8 Rh 3.02

---

# 3
# TcRh2Pb

An optimized crystal structure of TcRh2Pb (PBE, the Alexandria database).

## Properties
Calculated volume in Å³ per atom: 16.4
Total magnetization in μB per cell: 1.4
DFT formation energy in eV per atom: 0.28
Space-group type: No. 65

Lattice parameters (Å, degrees): 5.7723 7.7996 2.9180 90.00 90.00 90.00
Closest atoms and distances in Å follow each position.
Fractional coordinates of all 8 atoms:
Tc1 0.0000 0.0000 0.0000  8 Rh 2.83, 2 Pb 2.89, 2 Tc 2.92
Tc2 0.5000 0.5000 0.0000  8 Rh 2.83, 2 Pb 2.89, 2 Tc 2.92
Rh1 0.2500 0.2500 0.5000  4 Pb 2.83, 4 Tc 2.83, 4 Rh 2.89-2.92
Rh2 0.2500 0.7500 0.5000  4 Pb 2.83, 4 Tc 2.83, 4 Rh 2.89-2.92
Rh3 0.7500 0.2500 0.5000  4 Pb 2.83, 4 Tc 2.83, 4 Rh 2.89-2.92
Rh4 0.7500 0.7500 0.5000  4 Pb 2.83, 4 Tc 2.83, 4 Rh 2.89-2.92
Pb1 0.0000 0.5000 0.0000  8 Rh 2.83, 2 Tc 2.89, 2 Pb 2.92
Pb2 0.5000 0.0000 0.0000  8 Rh 2.83, 2 Tc 2.89, 2 Pb 2.92

---

# 4
# TcRhPb3

An optimized crystal structure of TcRhPb3 (PBE, the Alexandria database).

## Properties
Calculated volume in Å³ per atom: 28.9
Distance to the lowest polymorph of the same formula in eV per atom: 0.000
Total magnetization in μB per cell: 1.6
DFT formation energy in eV per atom: 0.93
Space-group type: No. 221

Lattice parameters (Å, degrees): 5.2447 5.2447 5.2447 90.00 90.00 90.00
Closest atoms and distances in Å follow each position.
Fractional coordinates of all 5 atoms:
Tc1 0.0000 0.0000 0.0000  6 Pb 2.62
Rh1 0.5000 0.5000 0.5000  12 Pb 3.71
Pb1 0.0000 0.0000 0.5000  2 Tc 2.62
Pb2 0.0000 0.5000 0.0000  2 Tc 2.62
Pb3 0.5000 0.0000 0.0000  2 Tc 2.62

---

# 5
# TcRh2Pb

An optimized crystal structure of TcRh2Pb (PBE, the Alexandria database).

## Properties
Calculated volume in Å³ per atom: 16.7
Total magnetization in μB per cell: 2.0
DFT formation energy in eV per atom: 0.38
Space-group type: No. 44

Lattice parameters (Å, degrees): 2.9467 4.7787 9.5146 90.00 90.00 90.00
Closest atoms and distances in Å follow each position.
Fractional coordinates of all 8 atoms:
Tc1 0.0000 0.0000 0.0000  6 Rh 2.66-2.81, 2 Pb 2.88, 2 Tc 2.95
Tc2 0.5000 0.5000 0.5000  6 Rh 2.66-2.81, 2 Pb 2.88, 2 Tc 2.95
Rh1 0.0000 0.0000 0.5104  2 Pb 2.80, 4 Tc 2.81, 4 Rh 2.85-2.95
Rh2 0.0000 0.5000 0.2670  2 Tc 2.66, 4 Pb 2.81, 4 Rh 2.85-2.95
Rh3 0.5000 0.0000 0.7670  2 Tc 2.66, 4 Pb 2.81, 4 Rh 2.85-2.95
Rh4 0.5000 0.5000 0.0104  2 Pb 2.80, 4 Tc 2.81, 4 Rh 2.85-2.95
Pb1 0.0000 0.5000 0.7602  6 Rh 2.80-2.81, 2 Tc 2.88, 2 Pb 2.95
Pb2 0.5000 0.0000 0.2602  6 Rh 2.80-2.81, 2 Tc 2.88, 2 Pb 2.95

---

# 6
# Tc4RhPb

An optimized crystal structure of Tc4RhPb (PBE, the Alexandria database).

## Properties
Calculated volume in Å³ per atom: 16.6
Total magnetization in μB per cell: 0.0
DFT formation energy in eV per atom: 0.57
Space-group type: No. 216

Lattice parameters (Å, degrees): 5.2027 5.2027 5.2027 60.00 60.00 60.00
Closest atoms and distances in Å follow each position.
Fractional coordinates of all 6 atoms:
Tc1 0.3767 0.3767 0.3767  6 Tc 2.57-2.64
Tc2 0.3767 0.3767 0.8699  6 Tc 2.57-2.64
Tc3 0.3767 0.8699 0.3767  6 Tc 2.57-2.64
Tc4 0.8699 0.3767 0.3767  6 Tc 2.57-2.64
Rh1 0.7500 0.7500 0.7500  12 Tc 3.05, 4 Pb 3.19
Pb1 0.0000 0.0000 0.0000  12 Tc 3.05, 4 Rh 3.19

---

# 7
# TcRh2Pb

An optimized crystal structure of TcRh2Pb (PBE, the Alexandria database).

## Properties
Calculated volume in Å³ per atom: 16.3
Total magnetization in μB per cell: 1.3
DFT formation energy in eV per atom: 0.20
Space-group type: No. 139

Lattice parameters (Å, degrees): 4.0552 4.0552 7.9231 90.00 90.00 90.00
Closest atoms and distances in Å follow each position.
Fractional coordinates of all 8 atoms:
Tc1 0.0000 0.0000 0.0000  8 Rh 2.83, 4 Pb 2.87
Tc2 0.5000 0.5000 0.5000  8 Rh 2.83, 4 Pb 2.87
Rh1 0.0000 0.5000 0.2500  4 Pb 2.83, 4 Tc 2.83, 4 Rh 2.87
Rh2 0.0000 0.5000 0.7500  4 Pb 2.83, 4 Tc 2.83, 4 Rh 2.87
Rh3 0.5000 0.0000 0.2500  4 Pb 2.83, 4 Tc 2.83, 4 Rh 2.87
Rh4 0.5000 0.0000 0.7500  4 Pb 2.83, 4 Tc 2.83, 4 Rh 2.87
Pb1 0.0000 0.0000 0.5000  8 Rh 2.83, 4 Tc 2.87
Pb2 0.5000 0.5000 0.0000  8 Rh 2.83, 4 Tc 2.87

---

# 8
# TcRh2Pb

An optimized crystal structure of TcRh2Pb (PBE, the Alexandria database).

## Properties
Calculated volume in Å³ per atom: 16.5
Total magnetization in μB per cell: 1.3
DFT formation energy in eV per atom: 0.33
Space-group type: No. 123

Lattice parameters (Å, degrees): 4.0462 4.0462 4.0374 90.00 90.00 90.00
Closest atoms and distances in Å follow each position.
Fractional coordinates of all 4 atoms:
Tc1 0.0000 0.0000 0.0000  8 Rh 2.86, 4 Pb 2.86
Rh1 0.0000 0.5000 0.5000  4 Pb 2.86, 4 Tc 2.86, 4 Rh 2.86
Rh2 0.5000 0.0000 0.5000  4 Pb 2.86, 4 Tc 2.86, 4 Rh 2.86
Pb1 0.5000 0.5000 0.0000  8 Rh 2.86, 4 Tc 2.86

---

# 9
# TcRh2Pb

An optimized crystal structure of TcRh2Pb (PBE, the Alexandria database).

## Properties
Calculated volume in Å³ per atom: 16.3
Total magnetization in μB per cell: 0.0
DFT formation energy in eV per atom: 0.25
Space-group type: No. 119

Lattice parameters (Å, degrees): 4.0845 4.0845 7.8187 90.00 90.00 90.00
Closest atoms and distances in Å follow each position.
Fractional coordinates of all 8 atoms:
Tc1 0.0000 0.0000 0.0000  4 Pb 2.83, 8 Rh 2.83-2.89
Tc2 0.5000 0.5000 0.5000  4 Pb 2.83, 8 Rh 2.83-2.89
Rh1 0.0000 0.0000 0.5000  4 Pb 2.83, 4 Rh 2.83, 4 Tc 2.89
Rh2 0.0000 0.5000 0.2500  4 Tc 2.83, 4 Rh 2.83, 4 Pb 2.89
Rh3 0.5000 0.0000 0.7500  4 Tc 2.83, 4 Rh 2.83, 4 Pb 2.89
Rh4 0.5000 0.5000 0.0000  4 Pb 2.83, 4 Rh 2.83, 4 Tc 2.89
Pb1 0.0000 0.5000 0.7500  4 Tc 2.83, 8 Rh 2.83-2.89
Pb2 0.5000 0.0000 0.2500  4 Tc 2.83, 8 Rh 2.83-2.89

---

# 10
# Tc2RhPb

An optimized crystal structure of Tc2RhPb (PBE, the Alexandria database).

## Properties
Calculated volume in Å³ per atom: 16.8
Total magnetization in μB per cell: 0.0
DFT formation energy in eV per atom: 0.56
Space-group type: No. 12

Lattice parameters (Å, degrees): 5.2528 8.6165 2.9622 90.00 90.15 90.00
Closest atoms and distances in Å follow each position.
Fractional coordinates of all 8 atoms:
Tc1 0.2500 0.2500 0.0000  2 Tc 2.63, 4 Pb 2.92-2.93, 4 Rh 2.92-2.93
Tc2 0.2500 0.7500 0.0000  2 Tc 2.63, 4 Pb 2.92-2.93, 4 Rh 2.92-2.93
Tc3 0.7500 0.2500 0.0000  2 Tc 2.63, 4 Pb 2.92-2.93, 4 Rh 2.92-2.93
Tc4 0.7500 0.7500 0.0000  2 Tc 2.63, 4 Pb 2.92-2.93, 4 Rh 2.92-2.93
Rh1 0.0000 0.0000 0.5000  2 Pb 2.63, 8 Tc 2.92-2.93
Rh2 0.5000 0.5000 0.5000  2 Pb 2.63, 8 Tc 2.92-2.93
Pb1 0.0000 0.5000 0.5000  2 Rh 2.63, 8 Tc 2.92-2.93
Pb2 0.5000 0.0000 0.5000  2 Rh 2.63, 8 Tc 2.92-2.93

---

# 11
# Tc2RhPb

An optimized crystal structure of Tc2RhPb (PBE, the Alexandria database).

## Properties
Calculated volume in Å³ per atom: 16.5
Total magnetization in μB per cell: 2.2
DFT formation energy in eV per atom: 0.40
Space-group type: No. 44

Lattice parameters (Å, degrees): 4.0110 4.2172 7.8141 90.00 90.00 90.00
Closest atoms and distances in Å follow each position.
Fractional coordinates of all 8 atoms:
Tc1 0.0000 0.0000 0.0000  4 Tc 2.69-2.99, 4 Pb 2.84, 4 Rh 2.91
Tc2 0.0000 0.5000 0.2713  4 Tc 2.69-2.99, 4 Rh 2.82-2.86, 4 Pb 2.91
Tc3 0.5000 0.0000 0.7713  4 Tc 2.69-2.99, 4 Rh 2.82-2.86, 4 Pb 2.91
Tc4 0.5000 0.5000 0.5000  4 Tc 2.69-2.99, 4 Pb 2.84, 4 Rh 2.91
Rh1 0.0000 0.0000 0.5112  8 Tc 2.82-2.91, 4 Pb 2.83-2.85
Rh2 0.5000 0.5000 0.0112  8 Tc 2.82-2.91, 4 Pb 2.83-2.85
Pb1 0.0000 0.5000 0.7565  4 Rh 2.83-2.85, 8 Tc 2.84-2.91
Pb2 0.5000 0.0000 0.2565  4 Rh 2.83-2.85, 8 Tc 2.84-2.91

---

# 12
# Tc2Rh2Pb

An optimized crystal structure of Tc2Rh2Pb (PBE, the Alexandria database).

## Properties
Calculated volume in Å³ per atom: 17.4
Total magnetization in μB per cell: 0.0
DFT formation energy in eV per atom: 0.26
Space-group type: No. 139

Lattice parameters (Å, degrees): 3.5797 3.5797 13.5516 90.00 90.00 90.00
Closest atoms and distances in Å follow each position.
Fractional coordinates of all 10 atoms:
Tc1 0.0000 0.5000 0.2500  4 Tc 2.53, 4 Rh 2.67
Tc2 0.0000 0.5000 0.7500  4 Tc 2.53, 4 Rh 2.67
Tc3 0.5000 0.0000 0.2500  4 Tc 2.53, 4 Rh 2.67
Tc4 0.5000 0.0000 0.7500  4 Tc 2.53, 4 Rh 2.67
Rh1 0.0000 0.0000 0.1033  4 Tc 2.67, 1 Rh 2.80, 4 Pb 2.89
Rh2 0.0000 0.0000 0.8967  4 Tc 2.67, 1 Rh 2.80, 4 Pb 2.89
Rh3 0.5000 0.5000 0.3967  4 Tc 2.67, 1 Rh 2.80, 4 Pb 2.89
Rh4 0.5000 0.5000 0.6033  4 Tc 2.67, 1 Rh 2.80, 4 Pb 2.89
Pb1 0.0000 0.0000 0.5000  8 Rh 2.89
Pb2 0.5000 0.5000 0.0000  8 Rh 2.89

---

Question: Which of these has the highest calculated volume?
Answer: TcRhPb3

---

Question: Look up the calculated volume of the eighth one.
Answer: 16.5 Å³ per atom